BeMo2O: relaxed, PBE+U.

Unit cell a=5.088 b=5.088 c=9.995 alpha=90.00 beta=90.00 gamma=90.00
Space group I-42d (No. 122)
Unique sites:
Be: 0.000 0.000 0.000 x4
Mo: 0.202 0.250 0.625 x8
O: 0.000 0.000 0.500 x4

Output
For the relative energy among the computed polymorphs, the calculation gives 0.0 kJ/mol of formula units.